# 1
NaHfZn2 (SCAN, single point on PBEsol structure); E = -373.8 eV per cell; space group = No. 225; ΔH_f (0 K) = 0.457 eV/f.u.; V = 71.0 Å³/f.u.
1.0
6.573 0.000 0.000
0.000 6.573 0.000
0.000 0.000 6.573
Na Hf Zn
4 4 8
Direct
0.000 0.000 0.000 Na
0.000 0.500 0.500 Na
0.500 0.000 0.500 Na
0.500 0.500 0.000 Na
0.000 0.000 0.500 Hf
0.000 0.500 0.000 Hf
0.500 0.000 0.000 Hf
0.500 0.500 0.500 Hf
0.250 0.250 0.250 Zn
0.250 0.250 0.750 Zn
0.250 0.750 0.250 Zn
0.250 0.750 0.750 Zn
0.750 0.250 0.250 Zn
0.750 0.250 0.750 Zn
0.750 0.750 0.250 Zn
0.750 0.750 0.750 Zn

# 2
ReTc5 (SCAN, single point on PBEsol structure); E = -246.4 eV per cell; space group = No. 6; ΔH_f (0 K) = -0.021 eV/f.u.; V = 84.4 Å³/f.u.
1.0
2.725 0.000 0.000
0.000 4.373 0.000
-1.361 0.000 7.087
Re Tc
1 5
Direct
0.000 0.000 0.000 Re
0.114 0.500 0.222 Tc
0.332 0.000 0.664 Tc
0.446 0.500 0.887 Tc
0.667 0.000 0.334 Tc
0.780 0.500 0.554 Tc

# 3
NbTe2 (SCAN, single point on PBEsol structure); E = -327.3 eV per cell; formation energy (no corrections) = -47 kJ/mol of atoms; space group = No. 12; V = 75.7 Å³/f.u.
1.0
7.234 -1.801 0.000
7.234 1.801 0.000
-3.154 0.000 8.720
Nb Te
3 6
Direct
0.000 0.000 0.000 Nb
0.363 0.363 0.712 Nb
0.637 0.637 0.288 Nb
0.000 0.000 0.310 Te
0.000 0.000 0.690 Te
0.298 0.298 0.382 Te
0.349 0.349 0.992 Te
0.651 0.651 0.008 Te
0.702 0.702 0.618 Te

# 4
CaScAg2 (SCAN, single point on PBEsol structure); E = -87.8 eV per cell; space group = No. 123; ΔH_f (0 K) = -1.176 eV/f.u.; V = 84.4 Å³/f.u.
1.0
4.981 0.000 0.000
0.000 4.981 0.000
0.000 0.000 3.403
Ca Sc Ag
1 1 2
Direct
0.000 0.000 0.000 Ca
0.500 0.500 0.000 Sc
0.000 0.500 0.500 Ag
0.500 0.000 0.500 Ag

# 5
ZrAg4 (SCAN, single point on PBEsol structure); E = -312.7 eV per cell; space group = No. 71; ΔH_f (0 K) = -0.191 eV/f.u.; V = 87.3 Å³/f.u.
1.0
2.929 0.000 0.000
0.000 4.100 0.000
0.000 0.000 14.536
Zr Ag
2 8
Direct
0.000 0.000 0.000 Zr
0.500 0.500 0.500 Zr
0.000 0.000 0.201 Ag
0.000 0.000 0.396 Ag
0.000 0.000 0.604 Ag
0.000 0.000 0.799 Ag
0.500 0.500 0.104 Ag
0.500 0.500 0.299 Ag
0.500 0.500 0.701 Ag
0.500 0.500 0.896 Ag

# 6
LiCaHfBi2 (SCAN, single point on PBEsol structure); E = -230.8 eV per cell; space group = No. 123; ΔH_f (0 K) = 1.096 eV/f.u.; V = 129.2 Å³/f.u.
1.0
5.139 0.000 0.000
0.000 5.139 0.000
0.000 0.000 4.892
Li Ca Hf Bi
1 1 1 2
Direct
0.000 0.000 0.000 Li
0.500 0.500 0.500 Ca
0.000 0.000 0.500 Hf
0.000 0.500 0.000 Bi
0.500 0.000 0.000 Bi

# 7
BaSc2As (SCAN, single point on PBEsol structure); E = -90.5 eV per cell; space group = No. 6; ΔH_f (0 K) = -2.271 eV/f.u.; V = 119.0 Å³/f.u.
1.0
4.131 0.000 0.000
0.000 4.320 0.000
-2.050 0.000 6.669
Ba Sc As
1 2 1
Direct
0.000 0.000 0.000 Ba
0.271 0.000 0.537 Sc
0.740 0.500 0.476 Sc
0.384 0.500 0.767 As

# 8
MgCuF5 (SCAN, single point on PBEsol structure); E = -110.9 eV per cell; formation energy (no corrections) = -242 kJ/mol of atoms; space group = No. 15; V = 81.8 Å³/f.u.
1.0
4.168 -3.001 0.000
4.168 3.001 0.000
-3.157 0.000 6.539
Mg Cu F
2 2 10
Direct
0.037 0.963 0.750 Mg
0.963 0.037 0.250 Mg
0.500 0.500 0.000 Cu
0.500 0.500 0.500 Cu
0.170 0.787 0.033 F
0.213 0.830 0.467 F
0.218 0.294 0.368 F
0.294 0.218 0.868 F
0.397 0.603 0.750 F
0.603 0.397 0.250 F
0.706 0.782 0.132 F
0.782 0.706 0.632 F
0.787 0.170 0.533 F
0.830 0.213 0.967 F

# 9
YMoN2 (SCAN, single point on PBEsol structure); E = -339.4 eV per cell; formation energy (no corrections) = -85 kJ/mol of atoms; space group = No. 122; V = 58.3 Å³/f.u.
1.0
4.823 0.000 0.000
0.000 4.823 0.000
0.000 0.000 10.032
Y Mo N
4 4 8
Direct
0.000 0.000 0.000 Y
0.000 0.500 0.250 Y
0.500 0.000 0.750 Y
0.500 0.500 0.500 Y
0.000 0.000 0.500 Mo
0.000 0.500 0.750 Mo
0.500 0.000 0.250 Mo
0.500 0.500 0.000 Mo
0.191 0.250 0.625 N
0.250 0.691 0.875 N
0.250 0.809 0.375 N
0.309 0.250 0.125 N
0.691 0.750 0.125 N
0.750 0.191 0.375 N
0.750 0.309 0.875 N
0.809 0.750 0.625 N

# 10
ZnTe4Se (SCAN, single point on PBEsol structure); E = -179.0 eV per cell; formation energy (no corrections) = 58 kJ/mol of atoms; space group = No. 216; V = 165.3 Å³/f.u.
1.0
0.000 4.356 4.356
4.356 0.000 4.356
4.356 4.356 0.000
Zn Te Se
1 4 1
Direct
0.000 0.000 0.000 Zn
0.127 0.624 0.624 Te
0.624 0.127 0.624 Te
0.624 0.624 0.127 Te
0.624 0.624 0.624 Te
0.250 0.250 0.250 Se

# 11
ZnH4I2O8 (SCAN, single point on PBEsol structure); E = -326.2 eV per cell; space group = No. 2; V = 166.2 Å³/f.u.
1.0
4.769 0.000 0.000
-0.323 6.472 0.000
-0.013 -1.775 10.767
Zn H I O
2 8 4 16
Direct
0.000 0.000 0.000 Zn
0.000 0.000 0.500 Zn
0.245 0.378 0.028 H
0.295 0.352 0.550 H
0.451 0.202 0.437 H
0.476 0.221 0.045 H
0.524 0.779 0.955 H
0.549 0.798 0.563 H
0.705 0.648 0.450 H
0.755 0.622 0.972 H
0.091 0.706 0.729 I
0.382 0.775 0.228 I
0.618 0.225 0.772 I
0.909 0.294 0.271 I
0.161 0.555 0.146 O
0.197 0.986 0.170 O
0.214 0.788 0.379 O
0.237 0.795 0.885 O
0.263 0.243 0.472 O
0.270 0.905 0.646 O
0.317 0.241 0.986 O
0.343 0.505 0.679 O
0.657 0.495 0.321 O
0.683 0.759 0.014 O
0.730 0.095 0.354 O
0.737 0.757 0.528 O
0.763 0.205 0.115 O
0.786 0.212 0.621 O
0.803 0.014 0.830 O
0.839 0.445 0.854 O

# 12
LaTl8 (SCAN, single point on PBEsol structure); E = -623.3 eV per cell; space group = No. 139; ΔH_f (0 K) = -1.372 eV/f.u.; V = 249.7 Å³/f.u.
1.0
-5.071 5.071 2.428
5.071 -5.071 2.428
5.071 5.071 -2.428
La Tl
1 8
Direct
0.000 0.000 0.000 La
0.000 0.338 0.338 Tl
0.000 0.662 0.662 Tl
0.328 0.328 0.656 Tl
0.328 0.672 0.000 Tl
0.338 0.000 0.338 Tl
0.662 0.000 0.662 Tl
0.672 0.328 0.000 Tl
0.672 0.672 0.344 Tl

# 13
CuNi2W (SCAN, single point on PBEsol structure); E = -116.3 eV per cell; space group = No. 123; ΔH_f (0 K) = 0.967 eV/f.u.; V = 48.5 Å³/f.u.
1.0
4.293 0.000 0.000
0.000 4.293 0.000
0.000 0.000 2.630
Cu Ni W
1 2 1
Direct
0.000 0.000 0.000 Cu
0.000 0.500 0.500 Ni
0.500 0.000 0.500 Ni
0.500 0.500 0.000 W

# 14
ReTe2PI (SCAN, single point on PBEsol structure); E = -185.0 eV per cell; formation energy (no corrections) = 150 kJ/mol of atoms; space group = No. 123; V = 139.5 Å³/f.u.
1.0
5.152 0.000 0.000
0.000 5.152 0.000
0.000 0.000 5.256
Re Te P I
1 2 1 1
Direct
0.000 0.000 0.000 Re
0.000 0.500 0.500 Te
0.500 0.000 0.500 Te
0.500 0.500 0.500 P
0.500 0.500 0.000 I

# 15
SrMg2Cu (SCAN, single point on PBEsol structure); E = -93.2 eV per cell; space group = No. 139; ΔH_f (0 K) = 0.841 eV/f.u.; V = 92.1 Å³/f.u.
1.0
4.824 0.000 0.000
0.000 4.824 0.000
0.000 0.000 7.914
Sr Mg Cu
2 4 2
Direct
0.000 0.000 0.000 Sr
0.500 0.500 0.500 Sr
0.000 0.500 0.250 Mg
0.000 0.500 0.750 Mg
0.500 0.000 0.250 Mg
0.500 0.000 0.750 Mg
0.000 0.000 0.500 Cu
0.500 0.500 0.000 Cu

# 16
SrBeCu2 (SCAN, single point on PBEsol structure); E = -56.0 eV per cell; space group = No. 10; ΔH_f (0 K) = 1.038 eV/f.u.; V = 71.0 Å³/f.u.
1.0
3.287 0.000 0.000
0.000 3.731 0.000
-1.311 0.000 5.790
Sr Be Cu
1 1 2
Direct
0.000 0.000 0.000 Sr
0.500 0.000 0.500 Be
0.308 0.500 0.651 Cu
0.692 0.500 0.349 Cu

# 17
Mn3BN (SCAN, single point on PBEsol structure); E = -70.9 eV per cell; formation energy (no corrections) = 12 kJ/mol of atoms; space group = No. 221; V = 46.8 Å³/f.u.
1.0
3.603 0.000 0.000
0.000 3.603 0.000
0.000 0.000 3.603
Mn B N
3 1 1
Direct
0.000 0.000 0.500 Mn
0.000 0.500 0.000 Mn
0.500 0.000 0.000 Mn
0.500 0.500 0.500 B
0.000 0.000 0.000 N

# 18
MnFeIr2 (SCAN, single point on PBEsol structure); E = -718.9 eV per cell; space group = No. 225; ΔH_f (0 K) = -1.143 eV/f.u.; V = 52.8 Å³/f.u.
1.0
5.957 0.000 0.000
0.000 5.957 0.000
0.000 0.000 5.957
Mn Fe Ir
4 4 8
Direct
0.000 0.000 0.000 Mn
0.000 0.500 0.500 Mn
0.500 0.000 0.500 Mn
0.500 0.500 0.000 Mn
0.000 0.000 0.500 Fe
0.000 0.500 0.000 Fe
0.500 0.000 0.000 Fe
0.500 0.500 0.500 Fe
0.250 0.250 0.250 Ir
0.250 0.250 0.750 Ir
0.250 0.750 0.250 Ir
0.250 0.750 0.750 Ir
0.750 0.250 0.250 Ir
0.750 0.250 0.750 Ir
0.750 0.750 0.250 Ir
0.750 0.750 0.750 Ir

# 19
Mo5Ir (SCAN, single point on PBEsol structure); E = -488.7 eV per cell; space group = No. 38; ΔH_f (0 K) = 1.188 eV/f.u.; V = 91.2 Å³/f.u.
1.0
4.562 0.000 0.000
0.000 2.640 0.000
0.000 0.000 15.143
Mo Ir
10 2
Direct
0.000 0.000 0.000 Mo
0.000 0.000 0.323 Mo
0.000 0.500 0.500 Mo
0.000 0.500 0.823 Mo
0.500 0.000 0.100 Mo
0.500 0.000 0.429 Mo
0.500 0.000 0.762 Mo
0.500 0.500 0.262 Mo
0.500 0.500 0.600 Mo
0.500 0.500 0.929 Mo
0.000 0.000 0.659 Ir
0.000 0.500 0.159 Ir

# 20
Zr8Cu (SCAN, single point on PBEsol structure); E = -260.2 eV per cell; space group = No. 139; ΔH_f (0 K) = 0.569 eV/f.u.; V = 188.5 Å³/f.u.
1.0
-4.739 4.739 2.099
4.739 -4.739 2.099
4.739 4.739 -2.099
Zr Cu
8 1
Direct
0.000 0.331 0.331 Zr
0.000 0.669 0.669 Zr
0.331 0.000 0.331 Zr
0.337 0.337 0.674 Zr
0.337 0.663 0.000 Zr
0.663 0.337 0.000 Zr
0.663 0.663 0.326 Zr
0.669 0.000 0.669 Zr
0.000 0.000 0.000 Cu